Density functional theory data (GGA-PBE) for crystalline TaTe at its relaxed geometry.

The value obtained for the total DFT energy (no corrections) is -7.273 eV/atom. The calculation puts the uncorrected formation energy at 0.225 eV per atom. As for the crystal system: orthorhombic. Its density of states at the Fermi level is 10.04 states/eV/cell.

The space group is Pmmn (No. 59, origin choice 2) and the conventional cell measures 3.384, 15.264 and 4.887 Å, with angles of 90.00, 90.00 and 90.00 degrees. Symmetry generates all atoms from Ta at (0.250, 0.077, 0.117), Ta at (0.250, 0.750, 0.674), Te at (0.250, 0.250, 0.877) and Te at (0.250, 0.588, 0.404).

=====

Density functional theory data (GGA-PBE) for crystalline TaTe at its relaxed geometry.

The value obtained for the total DFT energy (no corrections) is -7.431 eV/atom. The calculation puts the uncorrected formation energy at 0.066 eV per atom. As for the crystal system: orthorhombic. Its density of states at the Fermi level is 5.44 states/eV/cell.

The space group is Cmme (No. 67) and the conventional cell measures 3.720, 5.133 and 9.987 Å, with angles of 90.00, 90.00 and 90.00 degrees. Symmetry generates all atoms from Ta at (0.000, 0.250, 0.104) and Te at (0.000, 0.250, 0.681).

=====

Density functional theory data (GGA-PBE) for crystalline TaTe at its relaxed geometry.

The value obtained for the total DFT energy (no corrections) is -6.974 eV/atom. The calculation puts the uncorrected formation energy at 0.523 eV per atom. As for the crystal system: tetragonal. Its density of states at the Fermi level is 8.40 states/eV/cell.

The space group is I4_1/amd (No. 141, origin choice 2) and the conventional cell measures 4.461, 4.461 and 8.448 Å, with angles of 90.00, 90.00 and 90.00 degrees. Symmetry generates all atoms from Ta at (0.000, 0.250, 0.375) and Te at (0.000, 0.250, 0.875).

=====

Density functional theory data (GGA-PBE) for crystalline TaTe at its relaxed geometry.

The value obtained for the total DFT energy (no corrections) is -7.489 eV/atom. The calculation puts the uncorrected formation energy at 0.009 eV per atom. As for the crystal system: monoclinic. Its density of states at the Fermi level is 11.75 states/eV/cell.

The space group is Cm (No. 8) and the conventional cell measures 12.412, 3.455 and 7.319 Å, with angles of 90.00, 117.46 and 90.00 degrees. Symmetry generates all atoms from Ta at (0.000, 0.000, 0.000), Ta at (0.093, 0.500, 0.747), Ta at (0.286, 0.000, 0.998), Te at (0.013, 0.000, 0.397), Te at (0.199, 0.500, 0.212) and Te at (0.350, 0.000, 0.683).

=====

Density functional theory data (GGA-PBE) for crystalline TaTe at its relaxed geometry.

The value obtained for the total DFT energy (no corrections) is -7.196 eV/atom. The calculation puts the uncorrected formation energy at 0.301 eV per atom. As for the crystal system: trigonal. Its density of states at the Fermi level is 7.15 states/eV/cell.

The space group is R-3m (No. 166, hexagonal axes) and the conventional cell measures 3.3435, 3.3435 and 12.9637 Å, with angles of 90.00, 90.00 and 120.00 degrees. Symmetry generates all atoms from Ta at (0.0000, 0.0000, 0.0000) and Te at (0.0000, 0.0000, 0.5000).

=====

Density functional theory data (GGA-PBE) for crystalline TaTe at its relaxed geometry.

The value obtained for the total DFT energy (no corrections) is -6.558 eV/atom. The calculation puts the uncorrected formation energy at 0.939 eV per atom. As for the crystal system: cubic. Its density of states at the Fermi level is 11.38 states/eV/cell.

The space group is F-43m (No. 216) and the conventional cell measures 6.315, 6.315 and 6.315 Å, with angles of 90.00, 90.00 and 90.00 degrees. Symmetry generates all atoms from Ta at (0.000, 0.000, 0.000) and Te at (0.250, 0.250, 0.750).

=====

Density functional theory data (GGA-PBE) for crystalline TaTe3 at its relaxed geometry.

The value obtained for the total DFT energy (no corrections) is -4.721 eV/atom. The calculation puts the uncorrected formation energy at 0.598 eV per atom. As for the crystal system: tetragonal. Its density of states at the Fermi level is 3.22 states/eV/cell.

The space group is P4/mmm (No. 123) and the conventional cell measures 5.230, 5.230 and 3.496 Å, with angles of 90.00, 90.00 and 90.00 degrees. Symmetry generates all atoms from Ta at (0.000, 0.000, 0.000), Te at (0.000, 0.500, 0.500) and Te at (0.500, 0.500, 0.000).

=====

Density functional theory data (GGA-PBE) for crystalline TaTe at its relaxed geometry.

The value obtained for the total DFT energy (no corrections) is -7.424 eV/atom. The calculation puts the uncorrected formation energy at 0.073 eV per atom. As for the crystal system: monoclinic. Its density of states at the Fermi level is 8.66 states/eV/cell.

The space group is Cm (No. 8) and the conventional cell measures 10.129, 3.568 and 8.525 Å, with angles of 90.00, 119.81 and 90.00 degrees. Symmetry generates all atoms from Ta at (0.000, 0.000, 0.000), Ta at (0.013, 0.000, 0.663), Ta at (0.197, 0.500, 0.273), Te at (0.199, 0.500, 0.946), Te at (0.291, 0.000, 0.636) and Te at (0.453, 0.000, 0.358).

=====

Density functional theory data (GGA-PBE) for crystalline TaTe3 at its relaxed geometry.

The value obtained for the total DFT energy (no corrections) is -5.339 eV/atom. The calculation puts the uncorrected formation energy at -0.019 eV per atom. As for the crystal system: trigonal. Its density of states at the Fermi level is 22.97 states/eV/cell.

The space group is R-3c (No. 167, hexagonal axes) and the conventional cell measures 6.9202, 6.9202 and 17.7834 Å, with angles of 90.00, 90.00 and 120.00 degrees. Symmetry generates all atoms from Ta at (0.0000, 0.0000, 0.0000) and Te at (0.0000, 0.3267, 0.2500).

=====

Density functional theory data (GGA-PBE) for crystalline TaTe at its relaxed geometry.

The value obtained for the total DFT energy (no corrections) is -7.365 eV/atom. The calculation puts the uncorrected formation energy at 0.132 eV per atom. As for the crystal system: orthorhombic. Its density of states at the Fermi level is 9.44 states/eV/cell.

The space group is P2_12_12_1 (No. 19) and the conventional cell measures 6.390, 6.835 and 8.604 Å, with angles of 90.00, 90.00 and 90.00 degrees. Symmetry generates all atoms from Ta at (0.001, 0.164, 0.274), Ta at (0.063, 0.815, 0.515), Te at (0.157, 0.077, 0.769) and Te at (0.212, 0.428, 0.470).

=====

Density functional theory data (GGA-PBE) for crystalline Ta3Te at its relaxed geometry.

The value obtained for the total DFT energy (no corrections) is -9.332 eV/atom. The calculation puts the uncorrected formation energy at 0.343 eV per atom. As for the crystal system: trigonal. Its density of states at the Fermi level is 12.77 states/eV/cell.

The space group is R-3m (No. 166, hexagonal axes) and the conventional cell measures 9.3295, 9.3295 and 3.0724 Å, with angles of 90.00, 90.00 and 120.00 degrees. Symmetry generates all atoms from Ta at (0.0000, 0.5000, 0.0000) and Te at (0.0000, 0.0000, 0.0000).

=====

Density functional theory data (GGA-PBE) for crystalline TaTe at its relaxed geometry.

The value obtained for the total DFT energy (no corrections) is -7.291 eV/atom. The calculation puts the uncorrected formation energy at 0.206 eV per atom. As for the crystal system: cubic. Its density of states at the Fermi level is 3.56 states/eV/cell.

The space group is Pm-3m (No. 221) and the conventional cell measures 3.419, 3.419 and 3.419 Å, with angles of 90.00, 90.00 and 90.00 degrees. Symmetry generates all atoms from Ta at (0.000, 0.000, 0.000) and Te at (0.500, 0.500, 0.500).

=====

Q: Which formula does entry 4 have?
A: TaTe

=====

Please write out number 4 again, unchanged.
Density functional theory data (GGA-PBE) for crystalline TaTe at its relaxed geometry.

The value obtained for the total DFT energy (no corrections) is -7.489 eV/atom. The calculation puts the uncorrected formation energy at 0.009 eV per atom. As for the crystal system: monoclinic. Its density of states at the Fermi level is 11.75 states/eV/cell.

The space group is Cm (No. 8) and the conventional cell measures 12.412, 3.455 and 7.319 Å, with angles of 90.00, 117.46 and 90.00 degrees. Symmetry generates all atoms from Ta at (0.000, 0.000, 0.000), Ta at (0.093, 0.500, 0.747), Ta at (0.286, 0.000, 0.998), Te at (0.013, 0.000, 0.397), Te at (0.199, 0.500, 0.212) and Te at (0.350, 0.000, 0.683).

=====

Copy entry 6 word for word.
Density functional theory data (GGA-PBE) for crystalline TaTe at its relaxed geometry.

The value obtained for the total DFT energy (no corrections) is -6.558 eV/atom. The calculation puts the uncorrected formation energy at 0.939 eV per atom. As for the crystal system: cubic. Its density of states at the Fermi level is 11.38 states/eV/cell.

The space group is F-43m (No. 216) and the conventional cell measures 6.315, 6.315 and 6.315 Å, with angles of 90.00, 90.00 and 90.00 degrees. Symmetry generates all atoms from Ta at (0.000, 0.000, 0.000) and Te at (0.250, 0.250, 0.750).